SbIr2W (PBE, relaxed); total energy = -8.389 eV per atom
1.0
4.0374 0.0000 0.0000
0.0000 4.0374 0.0000
0.0000 0.0000 4.0163
Sb Ir W
1 2 1
Cartesian
0.0000 0.0000 0.0000 Sb
0.0000 2.0187 2.0082 Ir
2.0187 0.0000 2.0082 Ir
2.0187 2.0187 0.0000 W

Ho3GaPd (PBE, relaxed); DFT formation energy = -483 meV per atom
1.0
5.9037 -5.4184 0.0000
5.9037 5.4184 0.0000
-0.0154 0.0000 7.9736
Ho Ga Pd
12 4 4
Cartesian
4.7425 4.3339 4.6469 Ho
2.9401 1.8850 6.3706 Ho
7.0417 4.3339 7.3135 Ho
4.7184 1.0678 3.3251 Ho
2.9478 -1.8850 2.3838 Ho
4.7107 -1.0678 7.3119 Ho
7.0812 1.0678 0.6617 Ho
8.8441 1.8850 5.5898 Ho
7.0735 -1.0678 4.6485 Ho
4.7502 -4.3339 0.6601 Ho
8.8518 -1.8850 1.6030 Ho
7.0494 -4.3339 3.3267 Ho
5.8998 3.6639 1.9934 Ga
5.8921 1.7328 5.9802 Ga
5.8998 -1.7328 1.9934 Ga
5.8921 -3.6639 5.9802 Ga
2.9193 0.6451 1.0100 Pd
2.9116 -0.6451 4.9968 Pd
8.8803 0.6451 2.9768 Pd
8.8726 -0.6451 6.9636 Pd

CaSmBr6 (PBE, relaxed); total energy = -3.621 eV per atom
1.0
0.0000 5.7316 5.7316
5.7316 0.0000 5.7316
5.7316 5.7316 0.0000
Ca Sm Br
1 1 6
Cartesian
0.0000 0.0000 0.0000 Ca
5.7316 5.7316 5.7316 Sm
5.7316 5.7316 2.8854 Br
5.7316 2.8854 5.7316 Br
8.5779 5.7316 5.7316 Br
2.8854 5.7316 5.7316 Br
5.7316 8.5779 5.7316 Br
5.7316 5.7316 8.5779 Br

RbCeMgI6 (PBE, relaxed); total energy = -3.249 eV per atom
1.0
7.9249 0.0000 0.0000
-3.9625 6.8632 0.0000
0.0000 0.0000 16.2659
Rb Ce Mg I
2 2 2 12
Cartesian
0.0000 0.0000 0.0000 Rb
0.0000 0.0000 8.1330 Rb
0.0000 4.5755 4.0665 Ce
3.9625 2.2877 12.1995 Ce
0.0000 4.5755 12.1995 Mg
3.9625 2.2877 4.0665 Mg
-1.3573 2.6045 10.4453 I
-2.3855 4.3855 13.9536 I
1.3573 2.6045 13.9536 I
-1.0282 6.7363 10.4453 I
2.9342 0.1268 2.3123 I
1.5770 2.4777 5.8207 I
2.3855 4.3855 10.4453 I
1.0282 6.7363 13.9536 I
4.9907 0.1268 5.8207 I
2.6052 4.2586 2.3123 I
6.3479 2.4777 2.3123 I
5.3197 4.2586 5.8207 I

Sm2AlCuSe5 (PBE, relaxed); total energy = -5.151 eV per atom
1.0
2.0252 -9.0466 0.0000
2.0252 9.0466 0.0000
0.0000 0.0000 11.5223
Sm Al Cu Se
4 2 2 10
Cartesian
2.0252 7.0512 5.7612 Sm
2.0252 6.8700 1.3911 Sm
2.0252 -6.8700 7.1522 Sm
2.0252 -7.0512 0.0000 Sm
2.0252 1.6762 3.3636 Al
2.0252 -1.6762 9.1248 Al
2.0252 4.4142 10.8397 Cu
2.0252 -4.4142 5.0785 Cu
2.0252 8.3107 10.1708 Se
2.0252 3.4986 1.7230 Se
2.0252 3.3884 5.3015 Se
2.0252 2.5420 9.3795 Se
2.0252 0.1344 1.3257 Se
2.0252 -0.1344 7.0868 Se
2.0252 -2.5420 3.6183 Se
2.0252 -3.3884 11.0626 Se
2.0252 -3.4986 7.4842 Se
2.0252 -8.3107 4.4097 Se

Al3CdI (PBE, relaxed); total energy = -2.237 eV per atom
1.0
5.2759 0.0000 0.0000
0.0000 5.2759 0.0000
0.0000 0.0000 5.2759
Al Cd I
3 1 1
Cartesian
0.0000 0.0000 2.6379 Al
0.0000 2.6379 0.0000 Al
2.6379 0.0000 0.0000 Al
0.0000 0.0000 0.0000 Cd
2.6379 2.6379 2.6379 I

BaSr2Nb (PBE, relaxed); DFT formation energy = 748 meV per atom
1.0
0.0000 4.3182 4.3182
4.3182 0.0000 4.3182
4.3182 4.3182 0.0000
Ba Sr Nb
1 2 1
Cartesian
0.0000 0.0000 0.0000 Ba
2.1591 2.1591 2.1591 Sr
6.4773 6.4773 6.4773 Sr
4.3182 4.3182 4.3182 Nb

NaLiZrTe3 (PBE, relaxed); total energy = -4.445 eV per atom
1.0
8.2428 0.0000 0.0000
0.0000 4.1846 0.0000
-3.0673 0.0000 10.1293
Na Li Zr Te
2 2 2 6
Cartesian
1.2244 1.0461 1.8245 Na
3.9511 3.1384 8.3049 Na
0.7089 1.0461 9.1599 Li
4.4666 3.1384 0.9694 Li
-0.4844 3.1384 6.7299 Zr
5.6599 1.0461 3.3995 Zr
-0.4851 3.1384 3.7286 Te
-0.9842 3.1384 9.5748 Te
1.5226 1.0461 6.5866 Te
3.6529 3.1384 3.5427 Te
6.1597 1.0461 0.5546 Te
5.6606 1.0461 6.4007 Te

AcScTlIn (PBE, relaxed); DFT formation energy = -287 meV per atom
1.0
0.0000 3.8852 3.8852
3.8852 0.0000 3.8852
3.8852 3.8852 0.0000
Ac Sc Tl In
1 1 1 1
Cartesian
0.0000 0.0000 0.0000 Ac
3.8852 3.8852 3.8852 Sc
1.9426 1.9426 1.9426 Tl
5.8278 5.8278 5.8278 In

B3OsCl (PBE, relaxed); total energy = -5.543 eV per atom
1.0
4.1788 0.0000 0.0000
0.0000 4.1788 0.0000
0.0000 0.0000 4.1788
B Os Cl
3 1 1
Cartesian
0.0000 0.0000 2.0894 B
0.0000 2.0894 0.0000 B
2.0894 0.0000 0.0000 B
0.0000 0.0000 0.0000 Os
2.0894 2.0894 2.0894 Cl

NdReO3 (PBE, relaxed); total energy = -8.211 eV per atom
1.0
3.9954 0.0000 0.0000
0.0000 3.9954 0.0000
0.0000 0.0000 3.9954
Nd Re O
1 1 3
Cartesian
0.0000 0.0000 0.0000 Nd
1.9977 1.9977 1.9977 Re
0.0000 1.9977 1.9977 O
1.9977 0.0000 1.9977 O
1.9977 1.9977 0.0000 O

TcTe2N (PBE, relaxed); total energy = -5.014 eV per atom
1.0
0.0000 3.2807 3.2807
3.2807 0.0000 3.2807
3.2807 3.2807 0.0000
Tc Te N
1 2 1
Cartesian
0.0000 0.0000 0.0000 Tc
1.6403 1.6403 1.6403 Te
4.9210 4.9210 4.9210 Te
3.2807 3.2807 3.2807 N